Material: Th2TeAu
Method: DFT, PBE
State: optimized geometry

Unit cell a=5.3752 b=5.3752 c=5.3752 alpha=60.00 beta=60.00 gamma=60.00
Element x y z (fractional)
Te  0.0000  0.0000  0.0000
Au  0.5000  0.5000  0.5000
Th  0.2500  0.2500  0.2500
Th  0.7500  0.7500  0.7500

Values from the calculation:
Excess energy over the best structure of this formula in the dataset (meV per atom): 140

=====

Material: ZrP2Os
Method: DFT, PBE
State: optimized geometry

Unit cell a=8.0066 b=8.0066 c=8.0066 alpha=22.15 beta=22.15 gamma=22.15
Element x y z (fractional)
Os  0.7361  0.7361  0.7361
P  0.0022  0.0022  0.0022
P  0.2576  0.2576  0.2576
Zr  0.5040  0.5040  0.5040

Values from the calculation:
Formation enthalpy at 0 K (eV per atom): -0.121
Excess energy over the best structure of this formula in the dataset (meV per atom): 516

=====

Material: RbAlHPt2
Method: DFT, PBE
State: optimized geometry

Unit cell a=4.2504 b=4.6895 c=4.2504 alpha=90.00 beta=90.00 gamma=90.00
Element x y z (fractional)
H  0.0000  0.0000  0.0000
Rb  0.5000  0.5000  0.5000
Pt  0.0000  0.0000  0.5000
Pt  0.5000  0.0000  0.0000
Al  0.0000  0.5000  0.0000

Values from the calculation:
E_tot (eV/atom): -3.58